(1)
Here is a geometry-optimized CsGa2Pt structure from Alexandria. Energies are from PBE-GGA.

**Energy of formation**: -42 kJ per mole of atoms

Unit cell a=4.3653 b=4.3653 c=20.5417 alpha=90.00 beta=90.00 gamma=120.00
Space group R-3m (No. 166, hexagonal axes)
One atom of each set of equivalent atoms:
Cs  0.0000  0.0000  0.0000 x3
Ga  0.0000  0.0000  0.1935 x6
Pt  0.0000  0.0000  0.5000 x3



(2)
Here is a geometry-optimized CsGa2Pt2 structure from Alexandria. Energies are from PBE-GGA.

**E above lowest polymorph**: 106 meV/atom
**Energy of formation**: -37 kJ per mole of atoms

Unit cell a=4.4107 b=4.4107 c=14.0982 alpha=90.00 beta=90.00 gamma=90.00
Space group I4/mmm (No. 139)
One atom of each set of equivalent atoms:
Cs  0.0000  0.0000  0.0000 x2
Ga  0.0000  0.5000  0.2500 x4
Pt  0.0000  0.0000  0.3356 x4



(3)
Here is a geometry-optimized CsGa2Pt structure from Alexandria. Energies are from PBE-GGA.

**Energy of formation**: -17 kJ per mole of atoms

Unit cell a=3.3753 b=3.3753 c=8.5102 alpha=90.00 beta=90.00 gamma=90.00
Space group P4/mmm (No. 123)
One atom of each set of equivalent atoms:
Cs  0.0000  0.0000  0.0000 x1
Ga  0.5000  0.5000  0.3356 x2
Pt  0.0000  0.0000  0.5000 x1



(4)
Here is a geometry-optimized CsGa3Pt structure from Alexandria. Energies are from PBE-GGA.

**E above lowest polymorph**: 1977 meV/atom
**Energy of formation**: 163 kJ per mole of atoms

Unit cell a=5.8274 b=5.8274 c=5.8274 alpha=90.00 beta=90.00 gamma=90.00
Space group Pm-3m (No. 221)
One atom of each set of equivalent atoms:
Cs  0.0000  0.0000  0.0000 x1
Ga  0.0000  0.0000  0.5000 x3
Pt  0.5000  0.5000  0.5000 x1



(5)
Here is a geometry-optimized CsGa3Pt structure from Alexandria. Energies are from PBE-GGA.

**E above lowest polymorph**: 0 meV/atom
**Energy of formation**: -28 kJ per mole of atoms

Unit cell a=9.7475 b=15.4844 c=7.4773 alpha=90.00 beta=101.29 gamma=90.00
Space group C2/c (No. 15)
One atom of each set of equivalent atoms:
Cs  0.1618  0.0812  0.4568 x8
Ga  0.0469  0.2864  0.5980 x8
Ga  0.0809  0.4300  0.1007 x8
Ga  0.2370  0.2764  0.1578 x8
Pt  0.0000  0.2895  0.2500 x4
Pt  0.0000  0.4352  0.7500 x4



(6)
Here is a geometry-optimized CsGa2Pt structure from Alexandria. Energies are from PBE-GGA.

**Energy of formation**: -34 kJ per mole of atoms

Unit cell a=6.5724 b=6.5724 c=13.7236 alpha=90.00 beta=90.00 gamma=90.00
Space group I4_1/amd (No. 141, origin choice 2)
One atom of each set of equivalent atoms:
Cs  0.0000  0.2500  0.3750 x4
Ga  0.0000  0.0000  0.0000 x8
Pt  0.0000  0.2500  0.8750 x4



(7)
Here is a geometry-optimized CsGa2Pt2 structure from Alexandria. Energies are from PBE-GGA.

**E above lowest polymorph**: 0 meV/atom
**Energy of formation**: -47 kJ per mole of atoms

Unit cell a=6.9361 b=6.9430 c=6.9472 alpha=103.53 beta=118.34 gamma=106.89
Space group P-1 (No. 2)
One atom of each set of equivalent atoms:
Cs  0.1203  0.2497  0.3695 x2
Ga  0.2622  0.4287  0.9724 x2
Ga  0.4548  0.9285  0.6661 x2
Pt  0.1951  0.7104  0.2148 x2
Pt  0.4962  0.2104  0.0153 x2



(8)
Here is a geometry-optimized CsRb2GaPt structure from Alexandria. Energies are from PBE-GGA.

**Energy of formation**: -6 kJ per mole of atoms

Unit cell a=6.7473 b=6.7473 c=4.9417 alpha=90.00 beta=90.00 gamma=90.00
Space group P4/mmm (No. 123)
One atom of each set of equivalent atoms:
Cs  0.0000  0.0000  0.0000 x1
Rb  0.0000  0.5000  0.5000 x2
Ga  0.5000  0.5000  0.0000 x1
Pt  0.5000  0.5000  0.5000 x1



Q: Which of these has the lowest energy of formation?
A: number 7



Q: energy of formation of number 1 (CsGa2Pt)?
A: -42 kJ per mole of atoms